This record from Alexandria via LeMat-Bulk describes a geometry-optimized Sm10ErTm6 structure. The functional is PBE.

Calculated values
The value obtained for the formation energy from the elements is 128.7 meV per atom. The value obtained for the calculated density is 8.0 Mg/m³. The calculation puts the total moment at 0.00 μB per cell. The total energy is -76.40 eV per cell. The crystal system is trigonal. As for the density of states at the Fermi level: 1.428 states/eV per atom. Its space group is P-31m, No. 162. The volume is 32.81 A^3/atom.

Unit cell a=6.8255 b=9.7134 c=9.7134 alpha=120.00 beta=90.00 gamma=90.00
With the nearest neighbours (Å) after each atom.
Sites, in units of the cell vectors:
Tm: 0.6897 0.0000 0.6294  9 Sm 3.33-3.73, 1 Tm 3.61
Sm: 0.5000 0.3333 0.6667  6 Tm 3.33, 2 Sm 3.41
Sm: 0.5000 0.6667 0.3333  6 Tm 3.33, 2 Sm 3.41
Tm: 0.3103 0.0000 0.3706  9 Sm 3.33-3.73, 1 Tm 3.61
Sm: 0.1838 0.0000 0.7244  5 Tm 3.35-3.57, 1 Er 3.44, 2 Sm 3.67
Tm: 0.3103 0.3706 0.0000  9 Sm 3.33-3.73, 1 Tm 3.61
Tm: 0.6897 0.3706 0.3706  9 Sm 3.33-3.73, 1 Tm 3.61
Sm: 0.1838 0.2756 0.2756  5 Tm 3.35-3.57, 1 Er 3.44, 2 Sm 3.67
Sm: 0.8162 0.0000 0.2756  5 Tm 3.35-3.57, 1 Er 3.44, 2 Sm 3.67
Sm: 0.8162 0.7244 0.7244  5 Tm 3.35-3.57, 1 Er 3.44, 2 Sm 3.67
Sm: 0.1838 0.7244 0.0000  5 Tm 3.35-3.57, 1 Er 3.44, 2 Sm 3.67
Tm: 0.6897 0.6294 0.0000  9 Sm 3.33-3.73, 1 Tm 3.61
Sm: 0.8162 0.2756 0.0000  5 Tm 3.35-3.57, 1 Er 3.44, 2 Sm 3.67
Sm: 0.0000 0.6667 0.3333  8 Sm 3.41-3.77, 6 Tm 3.73
Er: 0.5000 0.0000 0.0000  6 Sm 3.44, 6 Tm 3.83
Tm: 0.3103 0.6294 0.6294  9 Sm 3.33-3.73, 1 Tm 3.61
Sm: 0.0000 0.3333 0.6667  8 Sm 3.41-3.77, 6 Tm 3.73

***

This record from Alexandria via LeMat-Bulk describes a geometry-optimized KCd6Au structure. The functional is PBE.

Calculated values
The value obtained for the formation energy from the elements is -97.2 meV per atom. The value obtained for the calculated density is 6.9 Mg/m³. The calculation puts the total moment at 0.00 μB per cell. The value obtained for the distance to the lowest polymorph of the same formula is 0 meV per atom. The total energy is -10.64 eV per cell. The crystal system is tetragonal. As for the density of states at the Fermi level: 0.443 states/eV per atom. Its space group is P4/mmm, No. 123. The volume is 27.35 A^3/atom.

Unit cell a=4.7475 b=4.7475 c=9.7062 alpha=90.00 beta=90.00 gamma=90.00
With the nearest neighbours (Å) after each atom.
Sites, in units of the cell vectors:
Cd: 0.5000 0.5000 0.8533  5 Cd 2.85-2.98
Cd: 0.5000 0.0000 0.3329  2 Au 2.87, 2 Cd 2.98
Cd: 0.5000 0.5000 0.1467  5 Cd 2.85-2.98
Cd: 0.5000 0.0000 0.6671  2 Au 2.87, 2 Cd 2.98
Cd: 0.0000 0.5000 0.6671  2 Au 2.87, 2 Cd 2.98
K: 0.0000 0.0000 0.0000  16 Cd 3.65-4.01
Au: 0.0000 0.0000 0.5000  8 Cd 2.87
Cd: 0.0000 0.5000 0.3329  2 Au 2.87, 2 Cd 2.98

***

This record from Alexandria via LeMat-Bulk describes a geometry-optimized UAgN structure. The functional is PBE.

Calculated values
The value obtained for the calculated density is 10.8 Mg/m³. The calculation puts the total moment at 7.54 μB per cell. The total energy is -98.22 eV per cell. The crystal system is orthorhombic. As for the density of states at the Fermi level: 1.699 states/eV per atom. Its space group is Pnma, No. 62. The formation energy from raw total energies comes out at -697 meV/atom. The volume is 18.45 A^3/atom.

Unit cell a=3.8734 b=3.8734 c=14.7601 alpha=90.00 beta=90.00 gamma=90.00
With the nearest neighbours (Å) after each atom.
Sites, in units of the cell vectors:
Ag: 0.7500 0.2492 0.0407  4 Ag 2.99-3.00, 1 U 3.17
U: 0.7500 0.2523 0.8259  4 N 2.24
N: 0.2500 0.2523 0.7500  4 U 2.24
N: 0.7500 0.7523 0.7500  4 U 2.24
Ag: 0.7500 0.2508 0.5407  4 Ag 2.99-3.00, 1 U 3.17
Ag: 0.2500 0.7492 0.4593  4 Ag 2.99-3.00, 1 U 3.17
U: 0.7500 0.2477 0.3259  4 N 2.24
U: 0.2500 0.7523 0.6741  4 N 2.24
N: 0.2500 0.2477 0.2500  4 U 2.24
N: 0.7500 0.7477 0.2500  4 U 2.24
U: 0.2500 0.7477 0.1741  4 N 2.24
Ag: 0.2500 0.7508 0.9593  4 Ag 2.99-3.00, 1 U 3.17

***

This record from Alexandria via LeMat-Bulk describes a geometry-optimized LiCe2BePd6 structure. The functional is PBE.

Calculated values
The value obtained for the formation energy from the elements is -524.1 meV per atom. The value obtained for the calculated density is 8.8 Mg/m³. The calculation puts the total moment at 1.76 μB per cell. The total energy is -53.91 eV per cell. The crystal system is orthorhombic. As for the density of states at the Fermi level: 1.600 states/eV per atom. Its space group is Immm, No. 71. The volume is 17.65 A^3/atom.

Unit cell a=5.8948 b=6.7827 c=6.2990 alpha=57.43 beta=62.11 gamma=90.01
With the nearest neighbours (Å) after each atom.
Sites, in units of the cell vectors:
Pd: 0.2553 0.2553 0.4894  1 Be 2.16, 1 Li 2.25
Pd: 0.2481 0.2644 0.0000  1 Be 2.18, 1 Li 2.31
Pd: 0.2484 0.7358 0.0000  1 Be 2.18, 1 Li 2.31
Pd: 0.7516 0.2642 0.0000  1 Be 2.18, 1 Li 2.31
Be: 0.5000 0.5000 0.0000  6 Pd 2.16-2.18
Pd: 0.7519 0.7356 0.0000  1 Be 2.18, 1 Li 2.31
Li: 0.0000 0.0000 0.0000  6 Pd 2.25-2.31
Ce: 0.2584 0.7584 0.4832  10 Pd 2.95-3.16
Pd: 0.7447 0.7447 0.5106  1 Be 2.16, 1 Li 2.25
Ce: 0.7416 0.2416 0.5168  10 Pd 2.95-3.16

***

This record from Alexandria via LeMat-Bulk describes a geometry-optimized LiTbIn2 structure. The functional is PBE.

Calculated values
The value obtained for the formation energy from the elements is -395.3 meV per atom. The value obtained for the calculated density is 6.8 Mg/m³. The calculation puts the total moment at 0.00 μB per cell. The total energy is -13.60 eV per cell. The crystal system is tetragonal. As for the density of states at the Fermi level: 0.234 states/eV per atom. Its space group is P4/mmm, No. 123. The volume is 24.31 A^3/atom.

Unit cell a=3.8989 b=4.9941 c=4.9941 alpha=90.00 beta=90.00 gamma=90.00
With the nearest neighbours (Å) after each atom.
Sites, in units of the cell vectors:
In: 0.0000 0.0000 0.5000  4 Tb 3.17, 4 Li 3.17, 4 In 3.53
Tb: 0.5000 0.5000 0.5000  8 In 3.17, 4 Li 3.53
In: 0.0000 0.5000 0.0000  4 Tb 3.17, 4 Li 3.17, 4 In 3.53
Li: 0.5000 0.0000 0.0000  8 In 3.17, 4 Tb 3.53

***

This record from Alexandria via LeMat-Bulk describes a geometry-optimized Rb2AgSn4Au3 structure. The functional is PBE.

Calculated values
The value obtained for the formation energy from the elements is -223.0 meV per atom. The value obtained for the calculated density is 8.0 Mg/m³. The calculation puts the total moment at 0.00 μB per cell. The total energy is -32.86 eV per cell. The crystal system is tetragonal. As for the density of states at the Fermi level: 0.745 states/eV per atom. Its space group is P-4m2, No. 115. The volume is 27.84 A^3/atom.

Unit cell a=5.0075 b=5.0075 c=11.1009 alpha=90.00 beta=90.00 gamma=90.00
With the nearest neighbours (Å) after each atom.
Sites, in units of the cell vectors:
Sn: 0.5000 0.5000 0.0000  4 Au 2.87
Sn: 0.0000 0.0000 0.0000  4 Au 2.87
Rb: 0.0000 0.5000 0.7452  2 Ag 3.70, 6 Au 3.70-3.82, 9 Sn 3.78-4.04
Au: 0.0000 0.0000 0.5000  4 Sn 2.83
Sn: 0.5000 0.0000 0.6187  2 Ag 2.83, 3 Au 2.83-2.84
Au: 0.5000 0.0000 0.8741  5 Sn 2.84-2.87
Ag: 0.5000 0.5000 0.5000  4 Sn 2.83
Sn: 0.0000 0.5000 0.3813  3 Au 2.83-2.84, 2 Ag 2.83
Au: 0.0000 0.5000 0.1259  5 Sn 2.84-2.87
Rb: 0.5000 0.0000 0.2548  6 Au 3.70-3.82, 2 Ag 3.70, 9 Sn 3.78-4.04

***

This record from Alexandria via LeMat-Bulk describes a geometry-optimized Zr3As structure. The functional is PBE.

Calculated values
The value obtained for the formation energy from the elements is -371.5 meV per atom. The value obtained for the calculated density is 6.9 Mg/m³. The calculation puts the total moment at 0.00 μB per cell. The total energy is -31.78 eV per cell. The crystal system is orthorhombic. As for the density of states at the Fermi level: 1.209 states/eV per atom. Its space group is Immm, No. 71. The volume is 20.84 A^3/atom.

Unit cell a=5.6450 b=5.6450 c=5.6450 alpha=141.27 beta=131.38 gamma=63.82
With the nearest neighbours (Å) after each atom.
Sites, in units of the cell vectors:
Zr: 0.7652 0.2652 0.5000  2 As 2.93, 8 Zr 3.00-3.23
As: 0.0000 0.0000 0.0000  8 Zr 2.93-2.98
Zr: 0.5000 0.5000 0.0000  4 As 2.98, 8 Zr 3.16-3.23
Zr: 0.2348 0.7348 0.5000  2 As 2.93, 8 Zr 3.00-3.23

***

This record from Alexandria via LeMat-Bulk describes a geometry-optimized In3C structure. The functional is PBE.

Calculated values
The value obtained for the formation energy from the elements is 1358.7 meV per atom. The value obtained for the calculated density is 6.7 Mg/m³. The calculation puts the total moment at 0.00 μB per cell. The total energy is -24.01 eV per cell. The crystal system is cubic. As for the density of states at the Fermi level: 0.508 states/eV per atom. Its space group is Pm-3n, No. 223. The volume is 21.93 A^3/atom.

Unit cell a=5.5985 b=5.5985 c=5.5985 alpha=90.00 beta=90.00 gamma=90.00
With the nearest neighbours (Å) after each atom.
Sites, in units of the cell vectors:
In: 0.0000 0.2500 0.5000  2 In 2.80, 4 C 3.13
C: 0.0000 0.0000 0.0000  12 In 3.13
In: 0.0000 0.7500 0.5000  2 In 2.80, 4 C 3.13
In: 0.7500 0.5000 0.0000  2 In 2.80, 4 C 3.13
C: 0.5000 0.5000 0.5000  12 In 3.13
In: 0.2500 0.5000 0.0000  2 In 2.80, 4 C 3.13
In: 0.5000 0.0000 0.7500  2 In 2.80, 4 C 3.13
In: 0.5000 0.0000 0.2500  2 In 2.80, 4 C 3.13